1.
First-principles (PBE) data for crystalline Mn4As2H at its relaxed geometry, as listed in Alexandria.

Properties
E_tot = -7.172 eV/atom
calculated volume = 172.5 Å³ per cell
D(E_F) = 3.4 states/eV/f.u.

abc: 3.6984 3.6984 12.6091
angles: 90.00 90.00 90.00
With the nearest neighbours (Å) after each atom.
Space group I4/mmm (No. 139)
Asymmetric unit:
Mn 0.0000 0.0000 0.1644 (multiplicity 4)  1 H 2.07
Mn 0.0000 0.5000 0.0000 (multiplicity 4)  2 H 1.85
As 0.0000 0.0000 0.3614 (multiplicity 4)  9 Mn 2.48-2.64
H 0.0000 0.0000 0.0000 (multiplicity 2)  4 Mn 1.85


2.
First-principles (PBE) data for crystalline NaMn2AsH at its relaxed geometry, as listed in Alexandria.

Properties
E_tot = -4.432 eV/atom
calculated volume = 87.1 Å³ per cell
D(E_F) = 3.8 states/eV/f.u.

abc: 5.0298 5.0298 3.4431
angles: 90.00 90.00 90.00
With the nearest neighbours (Å) after each atom.
Space group P4/mmm (No. 123)
Asymmetric unit:
Na 0.0000 0.0000 0.0000 (multiplicity 1)  2 H 1.72
Mn 0.0000 0.5000 0.0000 (multiplicity 2)  2 Na 2.51
As 0.5000 0.5000 0.5000 (multiplicity 1)  8 Mn 3.05
H 0.0000 0.0000 0.5000 (multiplicity 1)  2 Na 1.72


3.
First-principles (PBE) data for crystalline Na2Mn2As2H at its relaxed geometry, as listed in Alexandria.

Properties
E_tot = -5.116 eV/atom
calculated volume = 220.1 Å³ per cell
D(E_F) = 1.7 states/eV/f.u.

abc: 3.7937 3.7937 15.2963
angles: 90.00 90.00 90.00
With the nearest neighbours (Å) after each atom.
Space group I4/mmm (No. 139)
Asymmetric unit:
Na 0.0000 0.0000 0.1788 (multiplicity 4)  1 H 2.73, 4 As 2.90
Mn 0.0000 0.5000 0.0000 (multiplicity 4)  2 H 1.90
As 0.0000 0.0000 0.3928 (multiplicity 4)  4 Mn 2.51
H 0.0000 0.0000 0.0000 (multiplicity 2)  4 Mn 1.90